A plane-wave DFT calculation with PBE was carried out for AlTc3Sn after structural relaxation.

Geometry as extended XYZ:
```
5
Lattice="-2.127 -0.619 -3.921 -3.710 -1.272 2.214 -1.412 4.276 0.091" Properties=species:S:1:pos:R:3 pbc="T T T"
Sn -3.624 1.192 -0.808
Tc -1.855 -0.636 1.107
Tc -1.064 -0.309 -1.960
Al 0.000 0.000 0.000
Tc -0.706 2.138 0.046
```

Values from the calculation:
The magnetic moment is 2.665 μB per formula unit. The energy above the most stable polymorph in this dataset comes out at 0 meV per atom. Its space-group type is Pm-3m, No. 221. The calculation puts the volume at 18.27 A^3/atom.

A plane-wave DFT calculation with PBE was carried out for AlTc3Sn after structural relaxation.

Geometry as extended XYZ:
```
5
Lattice="-3.287 -0.200 3.551 1.672 -4.354 1.303 3.139 2.111 3.025" Properties=species:S:1:pos:R:3 pbc="T T T"
Sn 0.000 0.000 0.000
Tc 1.569 1.055 1.512
Tc 0.836 -2.177 0.652
Al 0.762 -1.222 3.939
Tc -1.644 -0.100 1.775
```

Values from the calculation:
The magnetic moment is 3.952 μB per formula unit. The energy above the most stable polymorph in this dataset comes out at 889 meV per atom. Its space-group type is Pm-3m, No. 221. The calculation puts the volume at 22.72 A^3/atom.

A plane-wave DFT calculation with PBE was carried out for AlTc2Sn after structural relaxation.

Geometry as extended XYZ:
```
4
Lattice="0.000 3.157 3.157 3.157 0.000 3.157 3.157 3.157 0.000" Properties=species:S:1:pos:R:3 pbc="T T T"
Tc 4.736 4.736 4.736
Al 0.000 0.000 0.000
Sn 3.157 3.157 3.157
Tc 1.579 1.579 1.579
```

Values from the calculation:
The magnetic moment is 0.000 μB per formula unit. The energy above the most stable polymorph in this dataset comes out at 0 meV per atom. Its space-group type is Fm-3m, No. 225. The calculation puts the volume at 15.73 A^3/atom.

A plane-wave DFT calculation with PBE was carried out for Al2Tc2Sn after structural relaxation.

Geometry as extended XYZ:
```
10
Lattice="-5.925 -1.684 3.416 3.316 -5.388 3.095 0.842 1.893 2.393" Properties=species:S:1:pos:R:3 pbc="T T T"
Al -3.293 -1.738 2.533
Tc -0.984 -0.520 2.851
Tc 1.640 -2.939 3.841
Tc -0.782 -4.659 6.054
Tc -3.406 -2.240 5.063
Sn 0.000 0.000 0.000
Al -3.096 -4.847 4.923
Al 0.488 -2.225 1.588
Al 0.685 -5.334 3.978
Sn -1.304 -3.536 3.256
```

Values from the calculation:
The magnetic moment is 0.000 μB per formula unit. The energy above the most stable polymorph in this dataset comes out at 157 meV per atom. Its space-group type is P4/mbm, No. 127. The calculation puts the volume at 15.70 A^3/atom.

A plane-wave DFT calculation with PBE was carried out for Al2SnTe after structural relaxation.

Geometry as extended XYZ:
```
8
Lattice="-3.852 -0.564 4.920 -2.473 -5.181 -2.530 1.158 -6.390 4.175" Properties=species:S:1:pos:R:3 pbc="T T T"
Sn -2.239 -7.222 1.420
Sn -3.163 -2.873 1.195
Te -2.928 -4.913 5.145
Te 0.000 0.000 0.000
Al -2.365 -2.589 3.723
Al -1.800 -4.916 0.157
Al -1.543 -7.031 3.987
Al -4.626 -9.736 5.264
```

Values from the calculation:
The magnetic moment is 0.000 μB per formula unit. The calculation puts the raw formation energy at -0.10 eV/atom. The energy above the most stable polymorph in this dataset comes out at 0 meV per atom. Its space-group type is I-42d, No. 122. The calculation puts the volume at 31.09 A^3/atom.

A plane-wave DFT calculation with PBE was carried out for Al2Sn2Te after structural relaxation.

Geometry as extended XYZ:
```
5
Lattice="4.644 0.000 0.000 0.000 4.644 0.000 2.322 2.322 5.984" Properties=species:S:1:pos:R:3 pbc="T T T"
Sn 2.322 4.644 2.992
Al 4.644 4.644 4.739
Te 0.000 0.000 0.000
Sn 4.644 2.322 2.992
Al 2.322 2.322 1.245
```

Values from the calculation:
The magnetic moment is 0.000 μB per formula unit. The calculation puts the raw formation energy at 0.18 eV/atom. The energy above the most stable polymorph in this dataset comes out at 63 meV per atom. Its space-group type is I4/mmm, No. 139. The calculation puts the volume at 25.82 A^3/atom.